NdDyOs: relaxed, PBE-GGA.

Cell lengths 6.863, 6.863, 6.863 Å; angles 90.00, 90.00, 90.00 degrees
Space group F-43m (No. 216)
Inequivalent atoms, fractional coordinates:
1 Nd 0.000 0.000 0.000 x4
2 Dy 0.000 0.000 0.500 x4
3 Os 0.250 0.250 0.250 x4

Output
The total energy is -6.9853 eV/atom. Its density of states at the Fermi level is 0.58 states/eV/atom. Its formation energy is -0.1188 eV per atom. As for the energy relative to the lowest polymorph listed for this composition: 0.5 kJ/mol of atoms.